1.
SCAN PrH20S4N5O16, PBEsol geometry; space group = No. 9; total DFT energy (no corrections) = -706.04 eV per cell
1.0
8.1524 -0.1125 -0.0003
2.8828 8.8492 -0.0001
4.0758 -0.0563 11.4386
H O Pr S N
40 32 2 8 10
Direct
0.8266 0.1714 0.4340
0.7270 0.8362 0.8168
0.9428 0.6974 0.4179
0.9038 0.8150 0.3068
0.3784 0.9980 0.4517
0.0881 0.6084 0.5663
0.8301 0.4980 0.5482
0.4167 0.3501 0.8320
0.3462 0.3844 0.5649
0.2606 0.6716 0.5661
0.0574 0.7952 0.5831
0.1691 0.9972 0.4542
0.7096 0.3931 0.6459
0.9110 0.8844 0.4352
0.3556 0.8930 0.3541
0.3570 0.2425 0.9513
0.3084 0.7425 0.0487
0.4566 0.7254 0.1264
0.7491 0.6465 0.8326
0.6890 0.7542 0.9518
0.6405 0.2952 0.4169
0.3606 0.1974 0.5821
0.4148 0.2712 0.1261
0.7386 0.8203 0.4369
0.0933 0.6784 0.6950
0.6543 0.1083 0.4336
0.2487 0.8501 0.1680
0.1754 0.3204 0.5632
0.5830 0.2254 0.8736
0.5438 0.3362 0.1832
0.2708 0.6602 0.1837
0.5410 0.7712 0.8739
0.6408 0.2542 0.0482
0.6233 0.4972 0.5458
0.7885 0.1784 0.3050
0.5816 0.1465 0.1674
0.2946 0.0864 0.3451
0.6396 0.5865 0.6549
0.4545 0.1602 0.8163
0.2107 0.3150 0.6932
0.6869 0.6370 0.3430
0.9663 0.3594 0.3429
0.7047 0.7390 0.0963
0.3092 0.8594 0.6571
0.6361 0.9628 0.2144
0.1503 0.5198 0.2467
0.0658 0.7190 0.8382
0.8486 0.9746 0.7540
0.2731 0.3003 0.3554
0.5005 0.4788 0.4595
0.2936 0.7578 0.9041
0.7235 0.1919 0.6445
0.8336 0.9458 0.0145
0.0953 0.2765 0.8372
0.3969 0.0199 0.7533
0.6286 0.8004 0.6446
0.8505 0.4627 0.7856
0.8480 0.4459 0.9855
0.4993 0.0144 0.5398
0.9324 0.7765 0.1629
0.9040 0.2189 0.1618
0.3680 0.6918 0.3554
0.1668 0.5500 0.9860
0.0299 0.1369 0.6571
0.0391 0.5144 0.4603
0.1528 0.0499 0.0140
0.6027 0.4746 0.2459
0.9601 0.9789 0.5405
0.1492 0.0342 0.2142
0.3632 0.5341 0.7858
0.1976 0.2579 0.0958
0.8010 0.2389 0.9038
0.9230 0.4981 0.1533
0.0762 0.9981 0.8467
0.2237 0.6362 0.8778
0.8979 0.3601 0.8773
0.4629 0.9195 0.6488
0.8865 0.0743 0.6491
0.7752 0.8601 0.1227
0.1016 0.1362 0.1221
0.1116 0.4195 0.3512
0.5355 0.5743 0.3509
0.6750 0.7537 0.8692
0.5442 0.2537 0.1308
0.3226 0.7428 0.1313
0.2737 0.3070 0.6020
0.1231 0.6857 0.6036
0.8757 0.8070 0.3981
0.7268 0.1856 0.3964
0.7000 0.4940 0.6003
0.4538 0.2428 0.8687
0.3004 0.9939 0.3997



2.
SCAN RbH2SNO3, PBEsol geometry; space group = No. 61; total DFT energy (no corrections) = -606.26 eV per cell
1.0
7.2777 0.0000 0.0000
0.0000 7.7521 0.0000
0.0000 0.0000 14.5336
O H N Rb S
24 16 8 8 8
Direct
0.7393 0.2963 0.7104
0.5029 0.2081 0.8831
0.2607 0.7963 0.7896
0.7252 0.9098 0.5553
0.2393 0.2037 0.2896
0.0029 0.2919 0.1169
0.9971 0.7919 0.3831
0.0029 0.2081 0.6169
0.7748 0.0902 0.0553
0.7748 0.4098 0.5553
0.9971 0.7081 0.8831
0.4971 0.7919 0.1169
0.5029 0.2919 0.3831
0.2607 0.7037 0.2896
0.4971 0.7081 0.6169
0.2252 0.5902 0.4447
0.7252 0.5902 0.0553
0.2393 0.2963 0.7896
0.7607 0.7037 0.2104
0.7607 0.7963 0.7104
0.7393 0.2037 0.2104
0.2748 0.4098 0.9447
0.2748 0.0902 0.4447
0.2252 0.9098 0.9447
0.9125 0.6082 0.6962
0.4203 0.9627 0.7282
0.0797 0.0373 0.2282
0.5875 0.3918 0.1962
0.4203 0.5373 0.2282
0.9203 0.9627 0.7718
0.4125 0.6082 0.8038
0.5797 0.0373 0.2718
0.0797 0.4627 0.7282
0.5875 0.1082 0.6962
0.9125 0.8918 0.1962
0.4125 0.8918 0.3038
0.0875 0.1082 0.8038
0.5797 0.4627 0.7718
0.9203 0.5373 0.2718
0.0875 0.3918 0.3038
0.5027 0.4928 0.1750
0.9973 0.9928 0.1750
0.4973 0.5072 0.8250
0.5027 0.0072 0.6750
0.4973 0.9928 0.3250
0.0027 0.0072 0.8250
0.9973 0.5072 0.6750
0.0027 0.4928 0.3250
0.1322 0.6443 0.0833
0.6322 0.6443 0.4167
0.3678 0.3557 0.5833
0.6322 0.8557 0.9167
0.1322 0.8557 0.5833
0.8678 0.3557 0.9167
0.3678 0.1443 0.0833
0.8678 0.1443 0.4167
0.3712 0.1543 0.3633
0.1288 0.6543 0.3633
0.3712 0.3457 0.8633
0.6288 0.6543 0.1367
0.8712 0.3457 0.6367
0.1288 0.8457 0.8633
0.6288 0.8457 0.6367
0.8712 0.1543 0.1367



3.
SCAN RbH4SNO4, PBEsol geometry; space group = No. 62; total DFT energy (no corrections) = -370.93 eV per cell
1.0
-3.6838 -5.1079 1.2005
3.1746 -3.6593 -5.8284
7.5592 -3.9074 6.5706
S O H Rb N
4 16 16 4 4
Direct
0.2500 0.7290 0.4500
0.2500 0.2290 0.0500
0.7500 0.7710 0.9500
0.7500 0.2710 0.5500
0.9395 0.1747 0.5940
0.2500 0.0476 0.0999
0.7500 0.9524 0.9001
0.5605 0.6747 0.9060
0.4395 0.3253 0.0940
0.2500 0.7268 0.5894
0.9395 0.6747 0.9060
0.7500 0.4524 0.5999
0.7500 0.2732 0.4106
0.0605 0.3253 0.0940
0.2500 0.2268 0.9106
0.0605 0.8253 0.4060
0.5605 0.1747 0.5940
0.4395 0.8253 0.4060
0.2500 0.5476 0.4001
0.7500 0.7732 0.0894
0.1183 0.8205 0.8512
0.2500 0.0200 0.8480
0.7500 0.9800 0.1520
0.7500 0.6249 0.2202
0.2500 0.5200 0.6520
0.6183 0.1795 0.1488
0.2500 0.8751 0.7202
0.2500 0.3751 0.7798
0.8817 0.6795 0.3512
0.1183 0.3205 0.6488
0.7500 0.4800 0.3480
0.3817 0.8205 0.8512
0.8817 0.1795 0.1488
0.3817 0.3205 0.6488
0.7500 0.1249 0.2798
0.6183 0.6795 0.3512
0.7500 0.3219 0.8770
0.2500 0.6781 0.1230
0.2500 0.1781 0.3770
0.7500 0.8219 0.6230
0.2500 0.3883 0.6834
0.7500 0.1117 0.1834
0.7500 0.6117 0.3166
0.2500 0.8883 0.8166



4.
SCAN ReHNO2, PBEsol geometry; space group = No. 123; total DFT energy (no corrections) = -96.87 eV per cell
1.0
3.7749 0.0000 0.0000
0.0000 3.7749 0.0000
0.0000 0.0000 3.8465
O H N Re
2 1 1 1
Direct
0.5000 0.0000 0.0000
0.0000 0.5000 0.0000
0.5000 0.5000 0.5000
0.0000 0.0000 0.5000
0.0000 0.0000 0.0000



Q: What is the total DFT energy (no corrections) in the fourth record?
A: -96.87 eV per cell